GeTeAuI2: relaxed, PBE.

Space-group type: No. 123
Formation energy (no corrections) (meV per atom): 530.2
Fermi-level density of states (states/eV per cell): 4.788

a b c (Å): 5.6228 5.6228 5.5412
angles (deg): 90.00 90.00 90.00
Last column: nearest neighbours and their distance in Å.
Fractional positions:
Ge1 0.0000 0.0000 0.0000  2 Te 2.77, 4 I 2.81
Au1 0.5000 0.5000 0.5000  8 I 3.95, 4 Te 3.98
I1 0.0000 0.5000 0.0000  2 Ge 2.81
I2 0.5000 0.0000 0.0000  2 Ge 2.81
Te1 0.0000 0.0000 0.5000  2 Ge 2.77